# PmTm3ThSc, optimized geometry, DFT GGA-PBE
data_PmTm3ThSc
_cell_length_a 7.799
_cell_length_b 4.988
_cell_length_c 9.871
_cell_angle_alpha 90.00
_cell_angle_beta 108.87
_cell_angle_gamma 90.00
_space_group_name_H-M_alt 'P 1'
_space_group_IT_number 1
loop_
_space_group_symop_operation_xyz
'x,y,z'
loop_
_atom_site_label
_atom_site_fract_x
_atom_site_fract_y
_atom_site_fract_z
Pm1 0.173 0.250 0.296
Pm2 0.827 0.750 0.704
Tm1 0.174 0.750 0.046
Tm2 0.175 0.750 0.542
Tm3 0.176 0.250 0.790
Tm4 0.824 0.750 0.210
Tm5 0.825 0.250 0.458
Tm6 0.826 0.250 0.954
Th1 0.498 0.750 0.875
Th2 0.502 0.250 0.125
Sc1 0.499 0.250 0.626
Sc2 0.501 0.750 0.374
# E_tot: -0.1941 hartree per atom
# calculated formation energy: 39 meV/atom
# SG: P2_1/m, No. 11
# crystal system: monoclinic



# Sr3Ga2Hg, optimized geometry, DFT GGA-PBE
data_Sr3Ga2Hg
_cell_length_a 3.933
_cell_length_b 3.933
_cell_length_c 11.846
_cell_angle_alpha 90.00
_cell_angle_beta 90.00
_cell_angle_gamma 90.00
_space_group_name_H-M_alt 'P 1'
_space_group_IT_number 1
loop_
_space_group_symop_operation_xyz
'x,y,z'
loop_
_atom_site_label
_atom_site_fract_x
_atom_site_fract_y
_atom_site_fract_z
Sr1 0.000 0.000 0.000
Sr2 0.000 0.000 0.323
Sr3 0.000 0.000 0.677
Ga1 0.500 0.500 0.158
Ga2 0.500 0.500 0.842
Hg1 0.500 0.500 0.500
# E_tot: -0.0853 hartree per atom
# calculated formation energy: -422 meV/atom
# SG: P4/mmm, No. 123
# crystal system: tetragonal



# Nd5SmPb3, optimized geometry, DFT GGA-PBE
data_Nd5SmPb3
_cell_length_a 9.765
_cell_length_b 9.765
_cell_length_c 6.818
_cell_angle_alpha 90.00
_cell_angle_beta 90.00
_cell_angle_gamma 120.00
_space_group_name_H-M_alt 'P 1'
_space_group_IT_number 1
loop_
_space_group_symop_operation_xyz
'x,y,z'
loop_
_atom_site_label
_atom_site_fract_x
_atom_site_fract_y
_atom_site_fract_z
Nd1 0.000 0.333 0.250
Nd2 0.000 0.667 0.750
Nd3 0.333 0.000 0.250
Nd4 0.333 0.333 0.750
Nd5 0.333 0.667 0.000
Nd6 0.333 0.667 0.500
Nd7 0.667 0.000 0.750
Nd8 0.667 0.333 0.000
Nd9 0.667 0.333 0.500
Nd10 0.667 0.667 0.250
Sm1 0.000 0.000 0.000
Sm2 0.000 0.000 0.500
Pb1 0.000 0.333 0.750
Pb2 0.000 0.667 0.250
Pb3 0.333 0.000 0.750
Pb4 0.333 0.333 0.250
Pb5 0.667 0.000 0.250
Pb6 0.667 0.667 0.750
# E_tot: -0.1777 hartree per atom
# calculated formation energy: -426 meV/atom
# SG: P6_3/mcm, No. 193
# crystal system: hexagonal



# Sm6Ge2P3Se, optimized geometry, DFT GGA-PBE
data_Sm6Ge2P3Se
_cell_length_a 9.333
_cell_length_b 9.333
_cell_length_c 8.427
_cell_angle_alpha 103.52
_cell_angle_beta 103.52
_cell_angle_gamma 25.40
_space_group_name_H-M_alt 'P 1'
_space_group_IT_number 1
loop_
_space_group_symop_operation_xyz
'x,y,z'
loop_
_atom_site_label
_atom_site_fract_x
_atom_site_fract_y
_atom_site_fract_z
Sm1 0.001 0.001 0.241
Sm2 0.331 0.331 0.423
Sm3 0.336 0.336 0.908
Sm4 0.664 0.664 0.092
Sm5 0.669 0.669 0.577
Sm6 0.999 0.999 0.759
Ge1 0.167 0.167 0.834
Ge2 0.833 0.833 0.166
P1 0.165 0.165 0.335
P2 0.500 0.500 0.000
P3 0.835 0.835 0.665
Se1 0.500 0.500 0.500
# E_tot: -0.2256 hartree per atom
# ΔE_f (raw): -1.37 eV per atom
# SG: C2/m, No. 12
# crystal system: monoclinic



# Li2Tl, optimized geometry, DFT GGA-PBE
data_Li2Tl
_cell_length_a 4.657
_cell_length_b 4.657
_cell_length_c 3.147
_cell_angle_alpha 90.00
_cell_angle_beta 90.00
_cell_angle_gamma 120.00
_space_group_name_H-M_alt 'P 1'
_space_group_IT_number 1
loop_
_space_group_symop_operation_xyz
'x,y,z'
loop_
_atom_site_label
_atom_site_fract_x
_atom_site_fract_y
_atom_site_fract_z
Li1 0.333 0.667 0.131
Li2 0.667 0.333 0.869
Tl1 0.000 0.000 0.500
# E_tot: -0.0829 hartree per atom
# calculated formation energy: -192 meV/atom
# SG: P-3m1, No. 164
# crystal system: trigonal



# In2PW, optimized geometry, DFT GGA-PBE
data_In2PW
_cell_length_a 5.229
_cell_length_b 5.229
_cell_length_c 2.884
_cell_angle_alpha 90.00
_cell_angle_beta 90.00
_cell_angle_gamma 106.42
_space_group_name_H-M_alt 'P 1'
_space_group_IT_number 1
loop_
_space_group_symop_operation_xyz
'x,y,z'
loop_
_atom_site_label
_atom_site_fract_x
_atom_site_fract_y
_atom_site_fract_z
In1 0.000 0.500 0.000
In2 0.500 0.000 0.000
P1 0.000 0.000 0.500
W1 0.500 0.500 0.500
# E_tot: -0.1966 hartree per atom
# calculated formation energy: 610 meV/atom
# SG: Cmmm, No. 65
# crystal system: orthorhombic



# TbNi5Ir, optimized geometry, DFT GGA-PBE
data_TbNi5Ir
_cell_length_a 7.895
_cell_length_b 4.867
_cell_length_c 9.914
_cell_angle_alpha 90.00
_cell_angle_beta 90.00
_cell_angle_gamma 90.00
_space_group_name_H-M_alt 'P 1'
_space_group_IT_number 1
loop_
_space_group_symop_operation_xyz
'x,y,z'
loop_
_atom_site_label
_atom_site_fract_x
_atom_site_fract_y
_atom_site_fract_z
Tb1 0.244 0.250 0.060
Tb2 0.256 0.750 0.560
Tb3 0.744 0.250 0.440
Tb4 0.756 0.750 0.940
Ni1 0.061 0.750 0.093
Ni2 0.068 0.006 0.308
Ni3 0.068 0.494 0.308
Ni4 0.100 0.250 0.520
Ni5 0.181 0.250 0.759
Ni6 0.319 0.750 0.259
Ni7 0.400 0.750 0.020
Ni8 0.432 0.506 0.808
Ni9 0.432 0.994 0.808
Ni10 0.439 0.250 0.593
Ni11 0.561 0.750 0.407
Ni12 0.568 0.006 0.192
Ni13 0.568 0.494 0.192
Ni14 0.600 0.250 0.980
Ni15 0.681 0.250 0.741
Ni16 0.819 0.750 0.241
Ni17 0.900 0.750 0.480
Ni18 0.932 0.506 0.692
Ni19 0.932 0.994 0.692
Ni20 0.939 0.250 0.907
Ir1 0.147 0.750 0.852
Ir2 0.353 0.250 0.352
Ir3 0.647 0.750 0.648
Ir4 0.853 0.250 0.148
# E_tot: -0.2320 hartree per atom
# calculated formation energy: -256 meV/atom
# SG: Pnma, No. 62
# crystal system: orthorhombic



# RbHgI3, optimized geometry, DFT GGA-PBE
data_RbHgI3
_cell_length_a 7.146
_cell_length_b 7.146
_cell_length_c 7.146
_cell_angle_alpha 90.00
_cell_angle_beta 90.00
_cell_angle_gamma 90.00
_space_group_name_H-M_alt 'P 1'
_space_group_IT_number 1
loop_
_space_group_symop_operation_xyz
'x,y,z'
loop_
_atom_site_label
_atom_site_fract_x
_atom_site_fract_y
_atom_site_fract_z
Rb1 0.000 0.000 0.000
Hg1 0.500 0.500 0.500
I1 0.000 0.000 0.500
I2 0.000 0.500 0.000
I3 0.500 0.000 0.000
# E_tot: -0.0475 hartree per atom
# ΔE_f (raw): -0.11 eV per atom
# SG: Pm-3m, No. 221
# ΔE to the lowest computed polymorph: 65.3 kJ/mol of atoms
# crystal system: cubic